# Rb4Te5Se3, optimized geometry, DFT GGA-PBE
# ΔE_f (raw)	-663	kJ/mol of formula units
# DFT total energy	-73.81	eV for the cell shown
# size of the total moment	0.0	μB/f.u.
data_Rb4Te5Se3
_chemical_formula_sum 'Rb8 Te10 Se6'
_cell_length_a 16.733
_cell_length_b 5.607
_cell_length_c 11.626
_cell_angle_alpha 90.00
_cell_angle_beta 115.18
_cell_angle_gamma 90.00
_symmetry_space_group_name_H-M 'C 1 2/m 1'
_symmetry_Int_Tables_number 12
loop_
_symmetry_equiv_pos_as_xyz
'x,y,z'
'-x,-y,-z'
'-x,y,-z'
'x,-y,z'
'x+1/2,y+1/2,z'
'-x+1/2,-y+1/2,-z'
'-x+1/2,y+1/2,-z'
'x+1/2,-y+1/2,z'
loop_
_atom_site_label
_atom_site_type_symbol
_atom_site_fract_x
_atom_site_fract_y
_atom_site_fract_z
Rb1 Rb 0.030 0.000 0.305
Rb2 Rb 0.247 0.000 0.841
Te1 Te 0.000 0.500 0.000
Te2 Te 0.104 0.500 0.609
Te3 Te 0.219 0.500 0.468
Se1 Se 0.000 0.000 0.000
Se2 Se 0.103 0.500 0.844

***

# Ti2ZnBiN, optimized geometry, DFT GGA-PBE
# ΔE_f (raw)	-111	kJ/mol of formula units
# DFT total energy	-30.42	eV for the cell shown
# size of the total moment	0.2	μB/f.u.
data_Ti2ZnBiN
_chemical_formula_sum 'Ti2 Zn1 Bi1 N1'
_cell_length_a 4.104
_cell_length_b 4.104
_cell_length_c 5.171
_cell_angle_alpha 90.00
_cell_angle_beta 90.00
_cell_angle_gamma 90.00
_symmetry_space_group_name_H-M 'P 4/m m m'
_symmetry_Int_Tables_number 123
_symmetry_space_group_name_Hall '-P 4 2'
loop_
_atom_site_label
_atom_site_type_symbol
_atom_site_fract_x
_atom_site_fract_y
_atom_site_fract_z
Ti1 Ti 0.000 0.500 0.000
Zn1 Zn 0.000 0.000 0.500
Bi1 Bi 0.500 0.500 0.500
N1 N 0.500 0.500 0.000

***

# Ca3In7Au4, optimized geometry, DFT GGA-PBE
# DFT total energy	-90.19	eV for the cell shown
# size of the total moment	0.0	μB/f.u.
data_Ca3In7Au4
_chemical_formula_sum 'Ca6 In14 Au8'
_cell_length_a 17.257
_cell_length_b 4.533
_cell_length_c 10.709
_cell_angle_alpha 90.00
_cell_angle_beta 125.51
_cell_angle_gamma 90.00
_symmetry_space_group_name_H-M 'C 1 2/m 1'
_symmetry_Int_Tables_number 12
loop_
_symmetry_equiv_pos_as_xyz
'x,y,z'
'-x,-y,-z'
'-x,y,-z'
'x,-y,z'
'x+1/2,y+1/2,z'
'-x+1/2,-y+1/2,-z'
'-x+1/2,y+1/2,-z'
'x+1/2,-y+1/2,z'
loop_
_atom_site_label
_atom_site_type_symbol
_atom_site_fract_x
_atom_site_fract_y
_atom_site_fract_z
Ca1 Ca 0.000 0.000 0.000
Ca2 Ca 0.193 0.500 0.701
In1 In 0.000 0.000 0.500
In2 In 0.008 0.500 0.297
In3 In 0.162 0.000 0.431
In4 In 0.179 0.500 0.025
Au1 Au 0.121 0.000 0.834
Au2 Au 0.158 0.500 0.260

***

# Cd9Ga2Hg3, optimized geometry, DFT GGA-PBE
# DFT total energy	-28.77	eV for the cell shown
# size of the total moment	0.0	μB/f.u.
data_Cd9Ga2Hg3
_chemical_formula_sum 'Cd18 Ga4 Hg6'
_cell_length_a 4.181
_cell_length_b 11.762
_cell_length_c 13.595
_cell_angle_alpha 90.00
_cell_angle_beta 90.00
_cell_angle_gamma 90.00
_symmetry_space_group_name_H-M 'I m m m'
_symmetry_Int_Tables_number 71
_symmetry_space_group_name_Hall '-I 2 2'
loop_
_atom_site_label
_atom_site_type_symbol
_atom_site_fract_x
_atom_site_fract_y
_atom_site_fract_z
Cd1 Cd 0.000 0.000 0.000
Cd2 Cd 0.000 0.129 0.378
Cd3 Cd 0.000 0.188 0.164
Ga1 Ga 0.000 0.331 0.500
Hg1 Hg 0.000 0.500 0.000
Hg2 Hg 0.000 0.500 0.270

***

# Pr2Y12Sc, optimized geometry, DFT GGA-PBE
# DFT total energy	-363.72	eV for the cell shown
# size of the total moment	0.0	μB/f.u.
data_Pr2Y12Sc
_chemical_formula_sum 'Pr8 Y48 Sc4'
_cell_length_a 7.092
_cell_length_b 11.402
_cell_length_c 24.800
_cell_angle_alpha 90.00
_cell_angle_beta 90.00
_cell_angle_gamma 90.00
_symmetry_space_group_name_H-M 'C m m e'
_symmetry_Int_Tables_number 67
_symmetry_space_group_name_Hall '-C 2a 2'
loop_
_atom_site_label
_atom_site_type_symbol
_atom_site_fract_x
_atom_site_fract_y
_atom_site_fract_z
Pr1 Pr 0.000 0.250 0.232
Pr2 Pr 0.000 0.250 0.763
Y1 Y 0.000 0.000 0.427
Y2 Y 0.000 0.015 0.061
Y3 Y 0.239 0.250 0.915
Y4 Y 0.250 0.000 0.174
Y5 Y 0.250 0.000 0.305
Y6 Y 0.250 0.250 0.379
Sc1 Sc 0.000 0.250 0.500